RbAgPb2Cl8, relaxed, DFT PBE; formation energy from raw total energies = -11.408 eV/f.u.; total moment = 0.00 μB/cell; crystal system = monoclinic; calculated total energy = -3.118 eV/atom
1.0
6.687 0.000 0.000
0.000 8.806 0.000
-0.782 0.000 6.788
Rb Ag Pb Cl
1 1 2 8
direct
0.000 0.000 0.000
0.000 0.500 0.000
0.500 0.264 0.500
0.500 0.736 0.500
0.226 0.303 0.158
0.226 0.697 0.158
0.282 0.500 0.651
0.302 0.000 0.645
0.698 0.000 0.355
0.718 0.500 0.349
0.774 0.303 0.842
0.774 0.697 0.842